(1)
First-principles (PBE) data for a geometry-optimized Cd2InSn structure, as listed in Alexandria.

Values from the calculation:
Relative energy among the computed polymorphs ... 0.10 eV/f.u.
Formation energy from the elements ... 62 meV/atom
Electronic total energy ... -0.07647 hartree per atom
Density of states at the Fermi level ... 2.5 states/eV/f.u.
Total magnetization ... 0.0 μB per formula unit

Cell and atoms, written as POSCAR:
```
Cd2InSn
1.0
-2.8507 -1.6622 4.0977
-4.2592 2.6956 1.5079
-4.7985 -2.0127 -0.7771
Cd Sn In
2 1 1
Direct
0.2500 0.2500 0.2500
0.7500 0.7500 0.7500
0.5000 0.5000 0.5000
0.0000 0.0000 0.0000
```

***

(2)
First-principles (PBE) data for a geometry-optimized Sr2AsRh structure, as listed in Alexandria.

Values from the calculation:
Formation energy from the elements ... -724 meV/atom
Electronic total energy ... -0.16776 hartree per atom
Density of states at the Fermi level ... 1.5 states/eV/f.u.
Total magnetization ... 0.0 μB per formula unit

Cell and atoms, written as POSCAR:
```
Sr2AsRh
1.0
-0.3735 -0.8262 -4.4899
-2.3693 -5.0714 1.1303
-6.1055 7.0200 -0.7839
As Rh Sr
2 2 4
Direct
0.2500 0.3972 0.7258
0.7500 0.6028 0.2742
0.7500 0.5880 0.7712
0.2500 0.4120 0.2288
0.2500 0.7962 0.0740
0.2500 0.7801 0.5702
0.7500 0.2199 0.4298
0.7500 0.2038 0.9260
```

***

(3)
First-principles (PBE) data for a geometry-optimized NiMoPt2 structure, as listed in Alexandria.

Values from the calculation:
Relative energy among the computed polymorphs ... 2.41 eV/f.u.
Formation energy from the elements ... 307 meV/atom
Electronic total energy ... -0.25234 hartree per atom
Density of states at the Fermi level ... 4.7 states/eV/f.u.
Total magnetization ... 0.0 μB per formula unit

Cell and atoms, written as POSCAR:
```
NiMoPt2
1.0
-5.0620 1.5578 -4.4005
2.2038 -4.9248 -4.2784
-3.0334 -3.4587 -3.1224
Pt Mo Ni
4 2 2
Direct
0.1327 0.6250 0.2500
0.6173 0.1250 0.2500
0.8750 0.8673 0.7500
0.3750 0.3827 0.7500
0.0000 0.0000 0.0000
0.7500 0.2500 0.5000
0.5000 0.5000 0.0000
0.2500 0.7500 0.5000
```

***

(4)
First-principles (PBE) data for a geometry-optimized CeSm3Y2Se6 structure, as listed in Alexandria.

Values from the calculation:
Electronic total energy ... -0.23147 hartree per atom
Density of states at the Fermi level ... 10.7 states/eV/f.u.
Total magnetization ... 0.9 μB per formula unit

Cell and atoms, written as POSCAR:
```
CeSm3Y2Se6
1.0
-4.0688 5.9111 -0.4598
-1.9871 -6.0258 -3.3836
-1.4170 -1.9097 6.7877
Ce Se Sm Y
1 6 3 2
Direct
0.0000 0.0000 0.0000
0.4204 0.0821 0.2458
0.0821 0.4204 0.2458
0.2574 0.2574 0.7557
0.5796 0.9179 0.7542
0.9179 0.5796 0.7542
0.7426 0.7426 0.2443
0.5000 0.5000 0.5000
0.1658 0.8342 0.5000
0.8342 0.1658 0.5000
0.6673 0.3327 0.0000
0.3327 0.6673 0.0000
```

***

Question: What is the formula in the third record?
Answer: NiMoPt2